First-principles (GGA+U) data for a relaxed structure of CsCrIrO6, as listed in Alexandria via LeMat-Bulk.

Cell: 5.1602 5.1724 6.7202 Å, 90.76 90.93 117.97°
Closest atoms and distances in Å follow each position.
Space group P1 (No. 1)
Unique sites:
Cs 0.0000 0.0000 0.0000 x1  6 O 3.07-3.10
Cr 0.3224 0.6791 0.5002 x1  6 O 1.86-2.00
Ir 0.6686 0.3312 0.4999 x1  6 O 1.87-1.98
O 0.9995 0.6054 0.3381 x1  1 Cr 1.86, 1 Ir 1.98
O 0.3860 0.3932 0.3451 x1  1 Ir 1.93, 1 Cr 1.95
O 0.3944 0.0010 0.6617 x1  1 Cr 1.86, 1 Ir 1.98
O 0.5968 0.0083 0.3348 x1  1 Ir 1.88, 1 Cr 1.99
O 0.6079 0.6144 0.6547 x1  1 Ir 1.93, 1 Cr 1.94
O 0.9925 0.4049 0.6658 x1  1 Ir 1.87, 1 Cr 2.00

Results
Total DFT energy (no corrections)   -56.80 eV for the cell shown
Total magnetic moment   0.0 μB per formula unit
Theoretical density   4.962 g/cm3